Density functional theory data (PBE-GGA) for an optimized crystal structure of MnCrTeAs2.

Raw total energy   -28.97 eV/cell
ΔE_f (raw)   452 meV per atom

Cell lengths 4.547, 4.547, 5.218 Å; angles 90.00, 90.00, 90.00 degrees
Sites, in units of the cell vectors:
Mn  0.000  0.000  0.000
Cr  0.000  0.000  0.500
Te  0.500  0.500  0.000
As  0.000  0.500  0.500
As  0.500  0.000  0.500

=====

Density functional theory data (PBE-GGA) for an optimized crystal structure of MnVCrAs.

Energy relative to the elements   -0.126 eV/atom
Raw total energy   -132.27 eV/cell

Cell lengths 5.783, 5.783, 5.783 Å; angles 90.00, 90.00, 90.00 degrees
Sites, in units of the cell vectors:
Mn  0.000  0.000  0.000
Mn  0.000  0.500  0.500
Mn  0.500  0.000  0.500
Mn  0.500  0.500  0.000
V  0.250  0.250  0.250
V  0.250  0.750  0.750
V  0.750  0.250  0.750
V  0.750  0.750  0.250
Cr  0.000  0.000  0.500
Cr  0.000  0.500  0.000
Cr  0.500  0.000  0.000
Cr  0.500  0.500  0.500
As  0.250  0.250  0.750
As  0.250  0.750  0.250
As  0.750  0.250  0.250
As  0.750  0.750  0.750

=====

Density functional theory data (PBE-GGA) for an optimized crystal structure of ZrMnCr2As.

Energy relative to the elements   0.534 eV/atom
Raw total energy   -38.95 eV/cell

Cell lengths 4.358, 4.358, 4.494 Å; angles 90.00, 90.00, 90.00 degrees
Sites, in units of the cell vectors:
Zr  0.000  0.000  0.000
Mn  0.500  0.500  0.500
Cr  0.000  0.500  0.500
Cr  0.500  0.000  0.500
As  0.500  0.500  0.000

=====

Density functional theory data (PBE-GGA) for an optimized crystal structure of CrMoAs3.

Energy relative to the elements   -0.085 eV/atom
Raw total energy   -69.66 eV/cell

Cell lengths 6.716, 3.421, 7.665 Å; angles 90.00, 92.25, 90.00 degrees
Sites, in units of the cell vectors:
Cr  0.138  0.250  0.210
Cr  0.862  0.750  0.790
Mo  0.385  0.750  0.747
Mo  0.615  0.250  0.253
As  0.122  0.250  0.863
As  0.321  0.250  0.493
As  0.369  0.750  0.099
As  0.631  0.250  0.901
As  0.679  0.750  0.507
As  0.878  0.750  0.137

=====

Density functional theory data (PBE-GGA) for an optimized crystal structure of CrMo2As2.

Energy relative to the elements   0.213 eV/atom
Raw total energy   -79.04 eV/cell

Cell lengths 6.780, 6.780, 3.321 Å; angles 90.00, 90.00, 90.00 degrees
Sites, in units of the cell vectors:
Cr  0.000  0.000  0.000
Cr  0.500  0.500  0.000
Mo  0.143  0.357  0.500
Mo  0.357  0.857  0.500
Mo  0.643  0.143  0.500
Mo  0.857  0.643  0.500
As  0.157  0.657  0.000
As  0.343  0.157  0.000
As  0.657  0.843  0.000
As  0.843  0.343  0.000

=====

Density functional theory data (PBE-GGA) for an optimized crystal structure of CrMo4As.

Energy relative to the elements   0.601 eV/atom
Raw total energy   -53.99 eV/cell

Cell lengths 5.210, 5.210, 5.210 Å; angles 60.00, 60.00, 60.00 degrees
Sites, in units of the cell vectors:
Cr  0.000  0.000  0.000
Mo  0.375  0.375  0.375
Mo  0.375  0.375  0.874
Mo  0.375  0.874  0.375
Mo  0.874  0.375  0.375
As  0.750  0.750  0.750

=====

Density functional theory data (PBE-GGA) for an optimized crystal structure of CrMo2As4.

Energy relative to the elements   -0.103 eV/atom
Raw total energy   -101.21 eV/cell

Cell lengths 7.004, 6.989, 8.678 Å; angles 51.74, 51.60, 76.66 degrees
Sites, in units of the cell vectors:
Cr  0.000  0.000  0.000
Cr  0.250  0.250  0.250
Mo  0.239  0.741  0.255
Mo  0.485  0.995  0.509
Mo  0.741  0.239  0.765
Mo  0.995  0.485  0.011
As  0.014  0.942  0.722
As  0.042  0.457  0.715
As  0.457  0.042  0.787
As  0.463  0.535  0.793
As  0.528  0.928  0.236
As  0.535  0.463  0.208
As  0.928  0.528  0.308
As  0.942  0.014  0.322

=====

Density functional theory data (PBE-GGA) for an optimized crystal structure of Cr3MoAs.

Energy relative to the elements   1.118 eV/atom
Raw total energy   -38.76 eV/cell

Cell lengths 4.411, 4.411, 4.411 Å; angles 90.00, 90.00, 90.00 degrees
Sites, in units of the cell vectors:
Cr  0.000  0.000  0.500
Cr  0.000  0.500  0.000
Cr  0.500  0.000  0.000
Mo  0.500  0.500  0.500
As  0.000  0.000  0.000